Record 1
The following is a DFT calculation (PBE-GGA) of an optimized crystal structure of AlZn5Pd4.

a b c (Å): 4.3243 5.3588 6.8863
angles (deg): 105.50 108.30 90.00
Last column: nearest neighbours and their distance in Å.
Sites, in units of the cell vectors:
Zn 0.2967 0.1963 0.5933  7 Pd 2.67-2.71, 1 Zn 2.70
Zn 0.5000 0.5000 0.0000  6 Zn 2.67-2.70, 2 Al 2.68
Zn 0.8962 0.5911 0.7923  6 Pd 2.62-2.70, 2 Zn 2.67
Zn 0.7033 0.8037 0.4067  7 Pd 2.67-2.71, 1 Zn 2.70
Zn 0.1038 0.4089 0.2077  6 Pd 2.62-2.70, 2 Zn 2.67
Pd 0.6953 0.2968 0.3905  1 Al 2.60, 7 Zn 2.62-2.69
Pd 0.0946 0.8988 0.1892  2 Al 2.62, 6 Zn 2.65-2.71
Pd 0.3047 0.7032 0.6095  1 Al 2.60, 7 Zn 2.62-2.69
Pd 0.9054 0.1012 0.8108  2 Al 2.62, 6 Zn 2.65-2.71
Al 0.5000 0.0000 0.0000  6 Pd 2.60-2.62, 2 Zn 2.68

symmetry	No. 12
calculated total energy	-0.1319	hartree per atom
crystal system	monoclinic

***

Record 2
The following is a DFT calculation (PBE-GGA) of an optimized crystal structure of Zr2ScCdH.

a b c (Å): 4.4547 4.4547 4.5490
angles (deg): 90.00 90.00 90.00
Last column: nearest neighbours and their distance in Å.
Sites, in units of the cell vectors:
Zr 0.0000 0.5000 0.0000  2 H 2.23
Zr 0.5000 0.0000 0.0000  2 H 2.23
Cd 0.5000 0.5000 0.5000  4 Sc 3.15, 8 Zr 3.18
Sc 0.0000 0.0000 0.5000  2 H 2.27
H 0.0000 0.0000 0.0000  4 Zr 2.23, 2 Sc 2.27

polymorph energy (0 for the lowest one)	0	meV/atom
symmetry	No. 123
calculated total energy	-0.2123	hartree per atom
crystal system	tetragonal

***

Record 3
The following is a DFT calculation (PBE-GGA) of an optimized crystal structure of LaHo2Hg.

a b c (Å): 3.6617 3.6617 10.8901
angles (deg): 80.32 80.32 60.00
Last column: nearest neighbours and their distance in Å.
Sites, in units of the cell vectors:
Hg 0.6664 0.6664 0.0008  6 Ho 3.14-3.16
Ho 0.2605 0.2605 0.2185  3 Hg 3.14
Ho 0.0729 0.0729 0.7812  3 Hg 3.16
La 0.5002 0.5002 0.4995  6 La 3.66, 6 Ho 3.67-3.68

polymorph energy (0 for the lowest one)	98	meV/atom
symmetry	No. 160
calculated total energy	-0.1373	hartree per atom
crystal system	trigonal

***

Record 4
The following is a DFT calculation (PBE-GGA) of an optimized crystal structure of BTeRhAu.

a b c (Å): 3.1793 4.6430 6.8376
angles (deg): 74.48 90.04 69.87
Last column: nearest neighbours and their distance in Å.
Sites, in units of the cell vectors:
Au 0.9877 0.2884 0.5778  2 B 2.20-2.21
B 0.4244 0.4135 0.3451  2 Rh 1.99, 2 Au 2.20-2.21
Rh 0.8648 0.5311 0.1640  2 B 1.99
Te 0.0988 0.0643 0.9876  3 Rh 2.64-2.79, 1 Au 2.69

polymorph energy (0 for the lowest one)	43	meV/atom
symmetry	No. 1
calculated total energy	-0.1833	hartree per atom
raw formation energy	0.12	eV per atom
crystal system	triclinic

***

> Look up the calculated total energy of the third one.

-0.1373 hartree per atom